*a*
Compound: BeTlBr3
Source: Alexandria via LeMat-Bulk
Functional: GGA-PBE
Structure: optimized geometry

Cell lengths 7.487, 8.692, 10.567 Å; angles 90.00, 91.34, 90.00 degrees
Sites, in units of the cell vectors:
Be: 0.105 0.161 0.402
Br: 0.614 0.486 0.748
Br: 0.176 0.684 0.973
Tl: 0.440 0.873 0.760
Tl: 0.940 0.627 0.260
Br: 0.877 0.294 0.435
Br: 0.324 0.184 0.527
Be: 0.395 0.661 0.098
Br: 0.123 0.706 0.565
Be: 0.895 0.839 0.598
Tl: 0.560 0.127 0.240
Tl: 0.060 0.373 0.740
Br: 0.377 0.206 0.935
Br: 0.676 0.816 0.473
Be: 0.605 0.339 0.902
Br: 0.114 0.014 0.248
Br: 0.386 0.514 0.252
Br: 0.623 0.794 0.065
Br: 0.886 0.986 0.752
Br: 0.824 0.316 0.027

=====

*b*
Compound: BeTlBr3
Source: Alexandria via LeMat-Bulk
Functional: GGA-PBE
Structure: optimized geometry

Cell lengths 5.679, 5.679, 5.679 Å; angles 90.00, 90.00, 90.00 degrees
Last column: magnetic moment on the atom in μB.
Sites, in units of the cell vectors:
Br: 0.500 0.000 0.000  0.04
Br: 0.000 0.500 0.000  0.04
Be: 0.500 0.500 0.500  0.22
Tl: 0.000 0.000 0.000  0.01
Br: 0.000 0.000 0.500  0.04

=====

Most favorable first, least favorable last: *a*, *b*

=====

*a*
Compound: BeTl2Br
Source: Alexandria via LeMat-Bulk
Functional: GGA-PBE
Structure: optimized geometry

Cell lengths 3.769, 3.686, 8.493 Å; angles 63.20, 90.00, 90.00 degrees
Sites, in units of the cell vectors:
Tl: 0.000 0.542 0.466
Be: 0.500 0.250 0.250
Br: 0.500 0.750 0.750
Tl: 0.000 0.958 0.034

=====

*b*
Compound: BeTl2Br
Source: Alexandria via LeMat-Bulk
Functional: GGA-PBE
Structure: optimized geometry

Cell lengths 6.659, 6.659, 6.659 Å; angles 141.15, 141.15, 56.12 degrees
Sites, in units of the cell vectors:
Br: 0.750 0.250 0.500
Tl: 0.250 0.750 0.500
Tl: 0.000 0.000 0.000
Be: 0.500 0.500 0.000

=====

Most favorable first, least favorable last: *a*, *b*

=====

*a*
Compound: BeTl2Br
Source: Alexandria via LeMat-Bulk
Functional: GGA-PBE
Structure: optimized geometry

Cell lengths 3.300, 3.300, 9.657 Å; angles 90.00, 90.00, 90.00 degrees
Sites, in units of the cell vectors:
Br: 0.500 0.500 0.652
Tl: 0.000 0.000 0.017
Be: 0.000 0.000 0.524
Tl: 0.500 0.500 0.307

=====

*b*
Compound: BeTl2Br
Source: Alexandria via LeMat-Bulk
Functional: GGA-PBE
Structure: optimized geometry

Cell lengths 6.534, 6.534, 6.534 Å; angles 146.67, 133.29, 58.59 degrees
Sites, in units of the cell vectors:
Tl: 0.574 0.574 0.000
Tl: 0.926 0.926 0.000
Be: 0.750 0.250 0.500
Br: 0.250 0.750 0.500

=====

Most favorable first, least favorable last: *a*, *b*

=====

*a*
Compound: BeTl2Br
Source: Alexandria via LeMat-Bulk
Functional: GGA-PBE
Structure: optimized geometry

Cell lengths 5.433, 5.433, 5.433 Å; angles 60.00, 60.00, 60.00 degrees
Sites, in units of the cell vectors:
Tl: 0.750 0.750 0.750
Be: 0.000 0.000 0.000
Br: 0.500 0.500 0.500
Tl: 0.250 0.250 0.250

=====

*b*
Compound: BeTl2Br
Source: Alexandria via LeMat-Bulk
Functional: GGA-PBE
Structure: optimized geometry

Cell lengths 6.272, 6.272, 8.012 Å; angles 66.96, 66.96, 90.00 degrees
Last column: magnetic moment on the atom in μB.
Sites, in units of the cell vectors:
Tl: 0.227 0.625 0.250  0.05
Tl: 0.523 0.125 0.250  0.05
Tl: 0.375 0.477 0.750  0.04
Br: 0.000 0.000 0.000  0.02
Be: 0.250 0.750 0.500  0.09
Be: 0.500 0.500 0.000  0.09
Br: 0.750 0.250 0.500  0.02
Tl: 0.875 0.773 0.750  0.04

=====

*c*
Compound: BeTl2Br
Source: Alexandria via LeMat-Bulk
Functional: GGA-PBE
Structure: optimized geometry

Cell lengths 3.690, 3.690, 7.795 Å; angles 90.00, 90.00, 99.66 degrees
Sites, in units of the cell vectors:
Be: 0.500 0.500 0.250
Br: 0.500 0.500 0.750
Tl: 0.000 0.000 0.037
Tl: 0.000 0.000 0.463

=====

Most favorable first, least favorable last: *b*, *c*, *a*

=====

*a*
Compound: BeTl2Br
Source: Alexandria via LeMat-Bulk
Functional: GGA-PBE
Structure: optimized geometry

Cell lengths 5.420, 5.420, 5.420 Å; angles 60.00, 60.00, 60.00 degrees
Sites, in units of the cell vectors:
Be: 0.500 0.500 0.500
Br: 0.250 0.250 0.250
Tl: 0.750 0.750 0.750
Tl: 0.000 0.000 0.000

=====

*b*
Compound: BeTl2Br
Source: Alexandria via LeMat-Bulk
Functional: GGA-PBE
Structure: optimized geometry

Cell lengths 5.250, 4.288, 6.670 Å; angles 50.38, 90.00, 90.00 degrees
Sites, in units of the cell vectors:
Tl: 0.500 0.499 0.375
Br: 0.500 0.500 0.875
Be: 0.000 0.500 0.375
Tl: 0.000 0.001 0.875

=====

Most favorable first, least favorable last: *b*, *a*

=====

*a*
Compound: BeTl2Br
Source: Alexandria via LeMat-Bulk
Functional: GGA-PBE
Structure: optimized geometry

Cell lengths 6.402, 6.402, 6.405 Å; angles 57.43, 57.43, 30.15 degrees
Sites, in units of the cell vectors:
Be: 0.462 0.462 0.431
Tl: 0.183 0.183 0.361
Tl: 0.013 0.013 0.015
Br: 0.842 0.842 0.693

=====

*b*
Compound: BeTl2Br
Source: Alexandria via LeMat-Bulk
Functional: GGA-PBE
Structure: optimized geometry

Cell lengths 3.920, 3.920, 7.983 Å; angles 76.48, 76.48, 60.26 degrees
Sites, in units of the cell vectors:
Br: 0.750 0.750 0.750
Be: 0.250 0.250 0.250
Tl: 0.520 0.520 0.447
Tl: 0.980 0.980 0.053

=====

Most favorable first, least favorable last: *a*, *b*

=====

*a*
Compound: BeTl2Br
Source: Alexandria via LeMat-Bulk
Functional: GGA-PBE
Structure: optimized geometry

Cell lengths 3.639, 3.639, 10.506 Å; angles 90.00, 90.00, 124.76 degrees
Sites, in units of the cell vectors:
Tl: 0.000 0.000 0.026
Tl: 0.500 0.500 0.307
Be: 0.000 0.000 0.515
Br: 0.500 0.500 0.653

=====

*b*
Compound: BeTl2Br
Source: Alexandria via LeMat-Bulk
Functional: GGA-PBE
Structure: optimized geometry

Cell lengths 5.804, 5.804, 5.804 Å; angles 129.97, 129.97, 73.45 degrees
Sites, in units of the cell vectors:
Tl: 0.500 0.500 0.000
Tl: 0.000 0.000 0.000
Br: 0.750 0.250 0.500
Be: 0.250 0.750 0.500

=====

Most favorable first, least favorable last: *a*, *b*

=====

*a*
Compound: BeTl2Br
Source: Alexandria via LeMat-Bulk
Functional: GGA-PBE
Structure: optimized geometry

Cell lengths 3.895, 3.895, 7.565 Å; angles 90.00, 90.00, 90.00 degrees
Sites, in units of the cell vectors:
Tl: 0.500 0.500 0.368
Tl: 0.000 0.000 0.996
Be: 0.000 0.000 0.351
Br: 0.500 0.500 0.786

=====

*b*
Compound: BeTl2Br
Source: Alexandria via LeMat-Bulk
Functional: GGA-PBE
Structure: optimized geometry

Cell lengths 8.539, 5.556, 3.513 Å; angles 88.93, 67.23, 130.24 degrees
Sites, in units of the cell vectors:
Tl: 0.500 0.000 0.500
Be: 0.000 0.500 0.500
Br: 0.500 0.500 0.000
Tl: 0.000 0.000 0.000

=====

Most favorable first, least favorable last: *a*, *b*

=====

*a*
Compound: Be3TlBr
Source: Alexandria via LeMat-Bulk
Functional: GGA-PBE
Structure: optimized geometry

Cell lengths 4.589, 4.589, 4.589 Å; angles 90.00, 90.00, 90.00 degrees
Sites, in units of the cell vectors:
Be: 0.500 0.000 0.000
Be: 0.000 0.500 0.000
Br: 0.000 0.000 0.000
Be: 0.000 0.000 0.500
Tl: 0.500 0.500 0.500

=====

*b*
Compound: Be3TlBr
Source: Alexandria via LeMat-Bulk
Functional: GGA-PBE
Structure: optimized geometry

Cell lengths 4.695, 4.695, 4.695 Å; angles 90.00, 90.00, 90.00 degrees
Sites, in units of the cell vectors:
Be: 0.000 0.000 0.500
Be: 0.000 0.500 0.000
Be: 0.500 0.000 0.000
Tl: 0.000 0.000 0.000
Br: 0.500 0.500 0.500

=====

Most favorable first, least favorable last: *b*, *a*

=====

*a*
Compound: BeV2Br
Source: Alexandria via LeMat-Bulk
Functional: GGA-PBE
Structure: optimized geometry

Cell lengths 4.224, 4.224, 4.224 Å; angles 60.00, 60.00, 60.00 degrees
Sites, in units of the cell vectors:
Br: 0.500 0.500 0.500
V: 0.750 0.750 0.750
V: 0.250 0.250 0.250
Be: 0.000 0.000 0.000

=====

*b*
Compound: BeV2Br
Source: Alexandria via LeMat-Bulk
Functional: GGA-PBE
Structure: optimized geometry

Cell lengths 3.623, 3.623, 9.205 Å; angles 78.65, 78.65, 90.00 degrees
Sites, in units of the cell vectors:
V: 0.375 0.393 0.750
V: 0.875 0.857 0.750
V: 0.143 0.625 0.250
Br: 0.000 0.000 0.000
Be: 0.500 0.500 0.000
Br: 0.750 0.250 0.500
V: 0.607 0.125 0.250
Be: 0.250 0.750 0.500

=====

Most favorable first, least favorable last: *b*, *a*

=====

*a*
Compound: BeWBr2
Source: Alexandria via LeMat-Bulk
Functional: GGA-PBE
Structure: optimized geometry

Cell lengths 6.308, 6.308, 6.308 Å; angles 145.58, 145.58, 49.47 degrees
Last column: magnetic moment on the atom in μB.
Sites, in units of the cell vectors:
Br: 0.000 0.000 0.000  0.05
Be: 0.750 0.250 0.500  -0.12
Br: 0.250 0.750 0.500  0.04
W: 0.500 0.500 0.000  2.23

=====

*b*
Compound: BeWBr2
Source: Alexandria via LeMat-Bulk
Functional: GGA-PBE
Structure: optimized geometry

Cell lengths 4.377, 4.377, 8.119 Å; angles 79.49, 79.49, 41.64 degrees
Sites, in units of the cell vectors:
W: 0.436 0.436 0.405
Br: 0.853 0.853 0.655
Be: 0.183 0.183 0.314
Br: 0.028 0.028 0.126

=====

Most favorable first, least favorable last: *b*, *a*

=====

*a*
Compound: BeWBr2
Source: Alexandria via LeMat-Bulk
Functional: GGA-PBE
Structure: optimized geometry

Cell lengths 8.085, 8.085, 3.512 Å; angles 77.46, 77.46, 23.51 degrees
Last column: magnetic moment on the atom in μB.
Sites, in units of the cell vectors:
Be: 0.250 0.250 0.250  0.01
Br: 0.116 0.116 0.884  0.01
W: 0.750 0.750 0.750  0.15
Br: 0.384 0.384 0.616  0.01

=====

*b*
Compound: BeWBr2
Source: Alexandria via LeMat-Bulk
Functional: GGA-PBE
Structure: optimized geometry

Cell lengths 8.173, 8.173, 8.173 Å; angles 22.46, 22.46, 22.46 degrees
Sites, in units of the cell vectors:
W: 0.000 0.000 0.000
Be: 0.500 0.500 0.500
Br: 0.894 0.894 0.894
Br: 0.106 0.106 0.106

=====

*c*
Compound: BeWBr2
Source: Alexandria via LeMat-Bulk
Functional: GGA-PBE
Structure: optimized geometry

Cell lengths 9.827, 9.827, 9.827 Å; angles 18.58, 18.58, 18.58 degrees
Sites, in units of the cell vectors:
Br: 0.518 0.518 0.518
Br: 0.982 0.982 0.982
Be: 0.750 0.750 0.750
W: 0.250 0.250 0.250

=====

*d*
Compound: BeWBr2
Source: Alexandria via LeMat-Bulk
Functional: GGA-PBE
Structure: optimized geometry

Cell lengths 3.331, 3.331, 9.761 Å; angles 90.00, 90.00, 124.13 degrees
Last column: magnetic moment on the atom in μB.
Sites, in units of the cell vectors:
Br: 0.000 0.000 0.896  0.01
W: 0.000 0.000 0.534  0.65
Br: 0.500 0.500 0.328  0.03
Be: 0.500 0.500 0.742  0.00

=====

Most favorable first, least favorable last: *a*, *d*, *b*, *c*